1.
This record from the Alexandria database describes crystalline NbInIr2 at its relaxed geometry. The functional is GGA-PBE.

Structure (CIF):
```
data_NbInIr2
_chemical_formula_sum 'Nb4 In4 Ir8'
_cell_length_a 7.2809
_cell_length_b 7.2809
_cell_length_c 5.7149
_cell_angle_alpha 90.00
_cell_angle_beta 90.00
_cell_angle_gamma 90.00
_space_group_name_H-M_alt 'I -4 2 d'
_space_group_IT_number 122
_space_group_name_Hall 'I -4 2bw'
loop_
_atom_site_label
_atom_site_fract_x
_atom_site_fract_y
_atom_site_fract_z
_atom_site_occupancy
Nb1 0.0000 0.0000 0.0000 1
In1 0.0000 0.0000 0.5000 1
Ir1 0.2196 0.2500 0.1250 1
```

Computed properties:
Magnetic moment = 0.0 μB/f.u.
Energy of formation = 0.217 eV/atom
Density of states at the Fermi level = 8.41 states/eV/cell

---

2.
This record from the Alexandria database describes crystalline Nb2InIr at its relaxed geometry. The functional is GGA-PBE.

Structure (CIF):
```
data_Nb2InIr
_chemical_formula_sum 'Nb6 In3 Ir3'
_cell_length_a 4.0024
_cell_length_b 4.0024
_cell_length_c 18.4869
_cell_angle_alpha 90.00
_cell_angle_beta 90.00
_cell_angle_gamma 120.00
_space_group_name_H-M_alt 'R 3 m'
_space_group_IT_number 160
_space_group_name_Hall 'R 3 -2"'
loop_
_atom_site_label
_atom_site_fract_x
_atom_site_fract_y
_atom_site_fract_z
_atom_site_occupancy
Nb1 0.0000 0.0000 0.0000 1
Nb2 0.0000 0.0000 0.2060 1
In1 0.0000 0.0000 0.7721 1
Ir1 0.0000 0.0000 0.6096 1
```

Computed properties:
Magnetic moment = 0.0 μB/f.u.
Energy of formation = 0.142 eV/atom
Density of states at the Fermi level = 6.99 states/eV/cell

---

3.
This record from the Alexandria database describes crystalline Nb2InIr at its relaxed geometry. The functional is GGA-PBE.

Structure (CIF):
```
data_Nb2InIr
_chemical_formula_sum 'Nb8 In4 Ir4'
_cell_length_a 7.6192
_cell_length_b 7.6192
_cell_length_c 5.5250
_cell_angle_alpha 90.00
_cell_angle_beta 90.00
_cell_angle_gamma 90.00
_space_group_name_H-M_alt 'I -4 2 d'
_space_group_IT_number 122
_space_group_name_Hall 'I -4 2bw'
loop_
_atom_site_label
_atom_site_fract_x
_atom_site_fract_y
_atom_site_fract_z
_atom_site_occupancy
Nb1 0.2042 0.7500 0.1250 1
In1 0.0000 0.0000 0.5000 1
Ir1 0.0000 0.0000 0.0000 1
```

Computed properties:
Magnetic moment = 0.0 μB/f.u.
Energy of formation = 0.220 eV/atom
Density of states at the Fermi level = 13.11 states/eV/cell

---

4.
This record from the Alexandria database describes crystalline NbIn3Ir at its relaxed geometry. The functional is GGA-PBE.

Structure (CIF):
```
data_NbIn3Ir
_chemical_formula_sum 'Nb1 In3 Ir1'
_cell_length_a 5.2799
_cell_length_b 5.2799
_cell_length_c 5.2799
_cell_angle_alpha 90.00
_cell_angle_beta 90.00
_cell_angle_gamma 90.00
_space_group_name_H-M_alt 'P m -3 m'
_space_group_IT_number 221
_space_group_name_Hall '-P 4 2 3'
loop_
_atom_site_label
_atom_site_fract_x
_atom_site_fract_y
_atom_site_fract_z
_atom_site_occupancy
Nb1 0.0000 0.0000 0.0000 1
In1 0.0000 0.0000 0.5000 1
Ir1 0.5000 0.5000 0.5000 1
```

Computed properties:
Magnetic moment = 1.4 μB/f.u.
Energy of formation = 1.499 eV/atom
Density of states at the Fermi level = 6.77 states/eV/cell
Energy above the lowest structure with this stoichiometry = 683 meV per atom